Material: Re2TeWO
Method: DFT, PBE+U
State: relaxed

VASP energy   -7.140 eV/atom
Size of the total moment   2.0 μB/cell
Theoretical density   14.81 g/cm³

abc: 4.271 4.271 4.302
angles: 90.00 90.00 90.00
Space group P4/mmm (No. 123)
Unique sites:
Re: 0.000 0.500 0.000 [2 per cell]
Te: 0.000 0.000 0.500 [1 per cell]
W: 0.500 0.500 0.500 [1 per cell]
O: 0.500 0.500 0.000 [1 per cell]